The following is a DFT calculation (PBE) of an optimized crystal structure of CaFeSi.

a b c (Å): 5.7197 5.7197 5.7197
angles (deg): 148.75 148.75 44.78
Positions (direct):
Ca (0.0000, 0.0000, 0.0000)
Fe (0.2963, 0.2963, 0.0000)
Si (0.7120, 0.7120, 0.0000)

Total magnetic moment, μB/f.u.: 0.00
ΔE_f (raw), kJ/mol of formula units: -28
Calculated volume, Å³ per atom: 16.74


The following is a DFT calculation (PBE) of an optimized crystal structure of KRb2GeP2.

a b c (Å): 9.1597 9.1597 9.1597
angles (deg): 128.58 68.92 137.40
Positions (direct):
K (0.2500, 0.2500, 0.0000)
K (0.7500, 0.7500, 0.0000)
Rb (0.1844, 0.6968, 0.8813)
Rb (0.3156, 0.1968, 0.5124)
Rb (0.6844, 0.8032, 0.4876)
Rb (0.8156, 0.3032, 0.1187)
Ge (0.2500, 0.7500, 0.5000)
Ge (0.7500, 0.2500, 0.5000)
P (0.0825, 0.3239, 0.4064)
P (0.4175, 0.8239, 0.2415)
P (0.5825, 0.1761, 0.7585)
P (0.9175, 0.6761, 0.5936)

Formation enthalpy at 0 K, kJ/mol of atoms: -22.6
Total magnetic moment, μB/f.u.: 0.00
Calculated volume, Å³ per atom: 33.29


The following is a DFT calculation (PBE) of an optimized crystal structure of Nd2NpCo.

a b c (Å): 10.6231 10.6231 10.6231
angles (deg): 19.28 19.28 19.28
Positions (direct):
Nd (0.1099, 0.1099, 0.1099)
Nd (0.8901, 0.8901, 0.8901)
Np (0.0000, 0.0000, 0.0000)
Co (0.5000, 0.5000, 0.5000)

Formation enthalpy at 0 K, kJ/mol of atoms: 55.5
Total magnetic moment, μB/f.u.: 5.19
Calculated volume, Å³ per atom: 28.56


The following is a DFT calculation (PBE) of an optimized crystal structure of SrTcNCl2.

a b c (Å): 5.4846 5.4846 7.0993
angles (deg): 90.00 90.00 90.00
Positions (direct):
Sr (0.0000, 0.0000, 0.0000)
Tc (0.0000, 0.0000, 0.5000)
N (0.5000, 0.5000, 0.5000)
Cl (0.0000, 0.5000, 0.0000)
Cl (0.5000, 0.0000, 0.0000)

Total magnetic moment, μB/f.u.: 4.12
ΔE_f (raw), kJ/mol of formula units: 542
Calculated volume, Å³ per atom: 42.71


The following is a DFT calculation (PBE) of an optimized crystal structure of LaZn3Fe.

a b c (Å): 4.6546 4.6546 4.6546
angles (deg): 90.00 90.00 90.00
Positions (direct):
La (0.0000, 0.0000, 0.0000)
Zn (0.0000, 0.5000, 0.5000)
Zn (0.5000, 0.0000, 0.5000)
Zn (0.5000, 0.5000, 0.0000)
Fe (0.5000, 0.5000, 0.5000)

Formation enthalpy at 0 K, kJ/mol of atoms: -5.8
Total magnetic moment, μB/f.u.: 0.93
Calculated volume, Å³ per atom: 20.17


The following is a DFT calculation (PBE) of an optimized crystal structure of Rb2CO4.

a b c (Å): 6.1979 5.8056 7.0145
angles (deg): 90.00 115.75 90.00
Positions (direct):
Rb (0.1939, 0.2500, 0.0127)
Rb (0.1954, 0.7500, 0.6367)
Rb (0.8046, 0.2500, 0.3633)
Rb (0.8061, 0.7500, 0.9873)
C (0.4883, 0.7500, 0.2973)
C (0.5117, 0.2500, 0.7027)
O (0.2841, 0.2500, 0.6527)
O (0.3198, 0.7500, 0.0993)
O (0.4090, 0.5339, 0.3891)
O (0.4090, 0.9661, 0.3891)
O (0.5910, 0.0339, 0.6109)
O (0.5910, 0.4661, 0.6109)
O (0.6802, 0.2500, 0.9007)
O (0.7160, 0.7500, 0.3473)

Total magnetic moment, μB/f.u.: 0.00
ΔE_f (raw), kJ/mol of formula units: -821
Calculated volume, Å³ per atom: 16.24


The following is a DFT calculation (PBE) of an optimized crystal structure of Ce4NdPu.

a b c (Å): 6.2032 6.2032 6.2032
angles (deg): 60.00 60.00 60.00
Positions (direct):
Ce (0.1239, 0.1239, 0.1239)
Ce (0.1239, 0.1239, 0.6282)
Ce (0.1239, 0.6282, 0.1239)
Ce (0.6282, 0.1239, 0.1239)
Nd (0.7500, 0.7500, 0.7500)
Pu (0.5000, 0.5000, 0.5000)

Formation enthalpy at 0 K, kJ/mol of atoms: 25.4
Total magnetic moment, μB/f.u.: 3.95
Calculated volume, Å³ per atom: 28.13


The following is a DFT calculation (PBE) of an optimized crystal structure of Na3Cu2F7.

a b c (Å): 9.9975 9.9975 3.8748
angles (deg): 90.00 90.00 156.08
Positions (direct):
Na (0.0000, 0.0000, 0.0000)
Na (0.1823, 0.8177, 0.0000)
Na (0.8177, 0.1823, 0.0000)
Cu (0.3977, 0.6023, 0.5000)
Cu (0.6023, 0.3977, 0.5000)
F (0.0986, 0.9014, 0.5000)
F (0.2973, 0.7027, 0.5000)
F (0.3986, 0.6014, 0.0000)
F (0.5000, 0.5000, 0.5000)
F (0.6014, 0.3986, 0.0000)
F (0.7027, 0.2973, 0.5000)
F (0.9014, 0.0986, 0.5000)

Total magnetic moment, μB/f.u.: 1.70
ΔE_f (raw), kJ/mol of formula units: -2376
Calculated volume, Å³ per atom: 13.08


The following is a DFT calculation (PBE) of an optimized crystal structure of Ac2CdAgRu.

a b c (Å): 8.2357 4.3386 8.5062
angles (deg): 90.00 112.19 90.00
Positions (direct):
Ac (0.0230, 0.2500, 0.2138)
Ac (0.3512, 0.7500, 0.6147)
Ac (0.6488, 0.2500, 0.3853)
Ac (0.9770, 0.7500, 0.7862)
Cd (0.3467, 0.2500, 0.9400)
Cd (0.6533, 0.7500, 0.0600)
Ag (0.3262, 0.7500, 0.1766)
Ag (0.6738, 0.2500, 0.8234)
Ru (0.0857, 0.2500, 0.5970)
Ru (0.9143, 0.7500, 0.4030)

Formation enthalpy at 0 K, kJ/mol of atoms: -23.6
Total magnetic moment, μB/f.u.: 0.00
Calculated volume, Å³ per atom: 28.14


The following is a DFT calculation (PBE) of an optimized crystal structure of BaPuO4.

a b c (Å): 8.3579 8.3579 6.1161
angles (deg): 90.00 90.00 150.30
Positions (direct):
Ba (0.1741, 0.8259, 0.7500)
Ba (0.8259, 0.1741, 0.2500)
Pu (0.4120, 0.5880, 0.7500)
Pu (0.5880, 0.4120, 0.2500)
O (0.0888, 0.9112, 0.2500)
O (0.3230, 0.6770, 0.5245)
O (0.3230, 0.6770, 0.9755)
O (0.5000, 0.5000, 0.0000)
O (0.5000, 0.5000, 0.5000)
O (0.6770, 0.3230, 0.0245)
O (0.6770, 0.3230, 0.4755)
O (0.9112, 0.0888, 0.7500)

Total magnetic moment, μB/f.u.: 2.00
ΔE_f (raw), kJ/mol of formula units: -1593
Calculated volume, Å³ per atom: 17.64


The following is a DFT calculation (PBE) of an optimized crystal structure of LiFeW3.

a b c (Å): 4.4941 4.4941 4.4941
angles (deg): 90.00 90.00 90.00
Positions (direct):
Li (0.0000, 0.0000, 0.0000)
Fe (0.5000, 0.5000, 0.5000)
W (0.0000, 0.5000, 0.5000)
W (0.5000, 0.0000, 0.5000)
W (0.5000, 0.5000, 0.0000)

Formation enthalpy at 0 K, kJ/mol of atoms: 137.2
Total magnetic moment, μB/f.u.: 0.00
Calculated volume, Å³ per atom: 18.15


The following is a DFT calculation (PBE) of an optimized crystal structure of Ag2TeC4.

a b c (Å): 6.3937 6.3937 6.3937
angles (deg): 140.47 140.47 57.14
Positions (direct):
Ag (0.1279, 0.1279, 0.0000)
Ag (0.8721, 0.8721, 0.0000)
Te (0.5000, 0.5000, 0.0000)
C (0.0000, 0.5000, 0.5000)
C (0.3090, 0.3090, 0.0000)
C (0.5000, 0.0000, 0.5000)
C (0.6910, 0.6910, 0.0000)

Total magnetic moment, μB/f.u.: 0.29
ΔE_f (raw), kJ/mol of formula units: 1851
Calculated volume, Å³ per atom: 15.00


Repeat the first record exactly.
The following is a DFT calculation (PBE) of an optimized crystal structure of CaFeSi.

a b c (Å): 5.7197 5.7197 5.7197
angles (deg): 148.75 148.75 44.78
Positions (direct):
Ca (0.0000, 0.0000, 0.0000)
Fe (0.2963, 0.2963, 0.0000)
Si (0.7120, 0.7120, 0.0000)

Total magnetic moment, μB/f.u.: 0.00
ΔE_f (raw), kJ/mol of formula units: -28
Calculated volume, Å³ per atom: 16.74


Copy entry 3 word for word.
The following is a DFT calculation (PBE) of an optimized crystal structure of Nd2NpCo.

a b c (Å): 10.6231 10.6231 10.6231
angles (deg): 19.28 19.28 19.28
Positions (direct):
Nd (0.1099, 0.1099, 0.1099)
Nd (0.8901, 0.8901, 0.8901)
Np (0.0000, 0.0000, 0.0000)
Co (0.5000, 0.5000, 0.5000)

Formation enthalpy at 0 K, kJ/mol of atoms: 55.5
Total magnetic moment, μB/f.u.: 5.19
Calculated volume, Å³ per atom: 28.56